[1]
Below is a relaxed structure of SrHfIn2Bi, with properties calculated at the PBE level.

a = 5.8839 Å, b = 5.8839 Å, c = 5.5806 Å
α = 90.00°, β = 90.00°, γ = 90.00°
With the nearest neighbours (Å) after each atom.
Space group P4/mmm (No. 123)
Inequivalent atoms, fractional coordinates:
1 Sr 0.0000 0.0000 0.0000 (multiplicity 1)  8 In 4.05, 4 Hf 4.16
2 Hf 0.5000 0.5000 0.0000 (multiplicity 1)  2 Bi 2.79
3 In 0.0000 0.5000 0.5000 (multiplicity 2)  2 Bi 2.94
4 Bi 0.5000 0.5000 0.5000 (multiplicity 1)  2 Hf 2.79, 4 In 2.94

Calculated values
Calculated formation energy = 597 meV per atom

=====

[2]
Below is a relaxed structure of Hf2InBiW, with properties calculated at the PBE level.

a = 5.2617 Å, b = 5.2617 Å, c = 5.1595 Å
α = 90.00°, β = 90.00°, γ = 90.00°
With the nearest neighbours (Å) after each atom.
Space group P4/mmm (No. 123)
Inequivalent atoms, fractional coordinates:
1 Hf 0.0000 0.5000 0.0000 (multiplicity 2)  2 In 2.63
2 In 0.0000 0.0000 0.0000 (multiplicity 1)  2 W 2.58, 4 Hf 2.63
3 Bi 0.5000 0.5000 0.5000 (multiplicity 1)  8 Hf 3.68, 4 W 3.72
4 W 0.0000 0.0000 0.5000 (multiplicity 1)  2 In 2.58

Calculated values
Calculated formation energy = 1553 meV per atom

=====

[3]
Below is a relaxed structure of HfZnInBi2, with properties calculated at the PBE level.

a = 5.6873 Å, b = 5.6873 Å, c = 5.4887 Å
α = 90.00°, β = 90.00°, γ = 90.00°
With the nearest neighbours (Å) after each atom.
Space group P4/mmm (No. 123)
Inequivalent atoms, fractional coordinates:
1 Hf 0.0000 0.0000 0.0000 (multiplicity 1)  2 In 2.74
2 Zn 0.5000 0.5000 0.0000 (multiplicity 1)  8 Bi 3.95, 4 Hf 4.02
3 In 0.0000 0.0000 0.5000 (multiplicity 1)  2 Hf 2.74, 4 Bi 2.84
4 Bi 0.0000 0.5000 0.5000 (multiplicity 2)  2 In 2.84

Calculated values
Calculated formation energy = 1090 meV per atom
Energy above the most stable polymorph in this dataset = 75 kJ/mol of formula units

=====

[4]
Below is a relaxed structure of HfZnInBi2, with properties calculated at the PBE level.

a = 5.7685 Å, b = 5.7685 Å, c = 4.7717 Å
α = 90.00°, β = 90.00°, γ = 90.00°
With the nearest neighbours (Å) after each atom.
Space group P4/mmm (No. 123)
Inequivalent atoms, fractional coordinates:
1 Hf 0.0000 0.0000 0.0000 (multiplicity 1)  8 Bi 3.74, 4 Zn 4.08
2 Zn 0.5000 0.5000 0.0000 (multiplicity 1)  2 In 2.39
3 In 0.5000 0.5000 0.5000 (multiplicity 1)  2 Zn 2.39
4 Bi 0.0000 0.5000 0.5000 (multiplicity 2)  2 In 2.88

Calculated values
Calculated formation energy = 933 meV per atom
Energy above the most stable polymorph in this dataset = 0 kJ/mol of formula units

=====

[5]
Below is a relaxed structure of HfBiIr3, with properties calculated at the PBE level.

a = 4.8772 Å, b = 4.8772 Å, c = 4.8772 Å
α = 90.00°, β = 90.00°, γ = 90.00°
With the nearest neighbours (Å) after each atom.
Space group Pm-3m (No. 221)
Inequivalent atoms, fractional coordinates:
1 Hf 0.0000 0.0000 0.0000 (multiplicity 1)  6 Ir 2.44
2 Bi 0.5000 0.5000 0.5000 (multiplicity 1)  12 Ir 3.45
3 Ir 0.0000 0.0000 0.5000 (multiplicity 3)  2 Hf 2.44

Calculated values
Calculated formation energy = 1133 meV per atom
Energy above the most stable polymorph in this dataset = 0 kJ/mol of formula units

=====

[6]
Below is a relaxed structure of Hf8Bi2Ir, with properties calculated at the PBE level.

a = 18.6383 Å, b = 4.8326 Å, c = 5.8395 Å
α = 90.00°, β = 107.58°, γ = 90.00°
With the nearest neighbours (Å) after each atom.
Space group C2/m (No. 12)
Inequivalent atoms, fractional coordinates:
1 Hf 0.0238 0.0000 0.2751 (multiplicity 4)  2 Ir 2.86, 1 Bi 2.95, 4 Hf 3.02-3.20
2 Hf 0.0819 0.5000 0.6693 (multiplicity 4)  1 Ir 2.80, 2 Hf 3.10-3.11
3 Hf 0.1451 0.5000 0.2334 (multiplicity 4)  1 Ir 2.64
4 Hf 0.2334 0.0000 0.1197 (multiplicity 4)  5 Hf 2.95-3.29, 4 Bi 2.98-3.14
5 Bi 0.1816 0.0000 0.5837 (multiplicity 4)  10 Hf 2.95-3.18
6 Ir 0.0000 0.5000 0.0000 (multiplicity 2)  8 Hf 2.64-2.86

Calculated values
Calculated formation energy = -84 meV per atom

=====

[7]
Below is a relaxed structure of HfBi2Ir, with properties calculated at the PBE level.

a = 7.0925 Å, b = 7.0925 Å, c = 7.0925 Å
α = 90.00°, β = 90.00°, γ = 90.00°
With the nearest neighbours (Å) after each atom.
Space group Fm-3m (No. 225)
Inequivalent atoms, fractional coordinates:
1 Hf 0.0000 0.0000 0.0000 (multiplicity 4)  8 Bi 3.07
2 Bi 0.2500 0.2500 0.2500 (multiplicity 8)  4 Hf 3.07, 4 Ir 3.07
3 Ir 0.0000 0.0000 0.5000 (multiplicity 4)  8 Bi 3.07

Calculated values
Calculated formation energy = 311 meV per atom
Energy above the most stable polymorph in this dataset = 0 kJ/mol of formula units

=====

[8]
Below is a relaxed structure of Hf6Bi2Ir, with properties calculated at the PBE level.

a = 5.2385 Å, b = 5.2385 Å, c = 18.0309 Å
α = 90.00°, β = 90.00°, γ = 90.00°
With the nearest neighbours (Å) after each atom.
Space group P4_2/mnm (No. 136)
Inequivalent atoms, fractional coordinates:
1 Hf 0.1800 0.1800 0.0000 (multiplicity 4)  1 Ir 2.37
2 Hf 0.2366 0.2366 0.3889 (multiplicity 8)  1 Ir 2.66
3 Bi 0.0000 0.0000 0.2450 (multiplicity 4)  4 Hf 3.10-3.13
4 Ir 0.0000 0.0000 0.5000 (multiplicity 2)  2 Hf 2.37

Calculated values
Calculated formation energy = 331 meV per atom

=====

no.,DOS at the Fermi energy (states/eV per cell)
1,5.89
2,4.60
3,6.58
4,5.50
5,3.94
6,21.28
7,18.19
8,23.84